(1)
Material: Hf2AlZn2Ni5
Method: DFT, PBE
State: optimized geometry

Results
Space-group type ... No. 127
VASP energy ... -116.13 eV for the cell shown
Energy of formation ... -296 meV per atom

Geometry as POSCAR:
```
Hf2AlZn2Ni5
1.0
9.020 0.000 0.000
0.000 9.020 0.000
0.000 0.000 3.436
Hf Al Zn Ni
4 2 4 10
direct
0.175 0.325 0.000 Hf
0.325 0.825 0.000 Hf
0.675 0.175 0.000 Hf
0.825 0.675 0.000 Hf
0.000 0.000 0.000 Al
0.500 0.500 0.000 Al
0.123 0.623 0.000 Zn
0.377 0.123 0.000 Zn
0.623 0.877 0.000 Zn
0.877 0.377 0.000 Zn
0.000 0.500 0.500 Ni
0.056 0.798 0.500 Ni
0.202 0.056 0.500 Ni
0.298 0.556 0.500 Ni
0.444 0.298 0.500 Ni
0.500 0.000 0.500 Ni
0.556 0.702 0.500 Ni
0.702 0.444 0.500 Ni
0.798 0.944 0.500 Ni
0.944 0.202 0.500 Ni
```

---

(2)
Material: Hf2Al2ZnNi5
Method: DFT, PBE
State: optimized geometry

Results
Space-group type ... No. 127
VASP energy ... -121.52 eV for the cell shown
Energy of formation ... -319 meV per atom

Geometry as POSCAR:
```
Hf2Al2ZnNi5
1.0
9.786 0.000 0.000
0.000 9.786 0.000
0.000 0.000 2.942
Hf Al Zn Ni
4 4 2 10
direct
0.173 0.327 0.000 Hf
0.327 0.827 0.000 Hf
0.673 0.173 0.000 Hf
0.827 0.673 0.000 Hf
0.129 0.629 0.000 Al
0.371 0.129 0.000 Al
0.629 0.871 0.000 Al
0.871 0.371 0.000 Al
0.000 0.000 0.000 Zn
0.500 0.500 0.000 Zn
0.000 0.500 0.500 Ni
0.041 0.801 0.500 Ni
0.199 0.041 0.500 Ni
0.301 0.541 0.500 Ni
0.459 0.301 0.500 Ni
0.500 0.000 0.500 Ni
0.541 0.699 0.500 Ni
0.699 0.459 0.500 Ni
0.801 0.959 0.500 Ni
0.959 0.199 0.500 Ni
```

---

(3)
Material: Hf2NpAl
Method: DFT, PBE
State: optimized geometry

Results
Space-group type ... No. 225
VASP energy ... -35.86 eV for the cell shown
Excess energy over the best structure of this formula in the dataset ... 0.147 eV/atom
Energy of formation ... 182 meV per atom

Geometry as POSCAR:
```
Hf2NpAl
1.0
0.000 3.466 3.466
3.466 0.000 3.466
3.466 3.466 0.000
Hf Np Al
2 1 1
direct
0.250 0.250 0.250 Hf
0.750 0.750 0.750 Hf
0.000 0.000 0.000 Np
0.500 0.500 0.500 Al
```

---

(4)
Material: Hf2NpAl
Method: DFT, PBE
State: optimized geometry

Results
Space-group type ... No. 123
VASP energy ... -36.45 eV for the cell shown
Excess energy over the best structure of this formula in the dataset ... 0.000 eV/atom
Energy of formation ... 35 meV per atom

Geometry as POSCAR:
```
Hf2NpAl
1.0
4.497 0.000 0.000
0.000 4.497 0.000
0.000 0.000 4.132
Hf Np Al
2 1 1
direct
0.000 0.500 0.000 Hf
0.500 0.000 0.000 Hf
0.000 0.000 0.500 Np
0.500 0.500 0.500 Al
```

---

(5)
Material: Hf2NpAl9
Method: DFT, PBE
State: optimized geometry

Results
Space-group type ... No. 123
VASP energy ... -70.09 eV for the cell shown
Energy of formation ... -296 meV per atom

Geometry as POSCAR:
```
Hf2NpAl9
1.0
4.136 0.000 0.000
0.000 4.136 0.000
0.000 0.000 12.452
Hf Np Al
2 1 9
direct
0.000 0.000 0.163 Hf
0.000 0.000 0.837 Hf
0.000 0.000 0.500 Np
0.000 0.500 0.000 Al
0.000 0.500 0.328 Al
0.000 0.500 0.672 Al
0.500 0.000 0.000 Al
0.500 0.000 0.328 Al
0.500 0.000 0.672 Al
0.500 0.500 0.164 Al
0.500 0.500 0.500 Al
0.500 0.500 0.836 Al
```

---

(6)
Material: Hf2NpAl
Method: DFT, PBE
State: optimized geometry

Results
Space-group type ... No. 123
VASP energy ... -36.43 eV for the cell shown
Excess energy over the best structure of this formula in the dataset ... 0.005 eV/atom
Energy of formation ... 40 meV per atom

Geometry as POSCAR:
```
Hf2NpAl
1.0
2.989 0.000 0.000
0.000 2.989 0.000
0.000 0.000 9.192
Hf Np Al
2 1 1
direct
0.000 0.000 0.226 Hf
0.000 0.000 0.774 Hf
0.500 0.500 0.500 Np
0.500 0.500 0.000 Al
```

---

(7)
Material: HfNpScAl
Method: DFT, PBE
State: optimized geometry

Results
Space-group type ... No. 216
VASP energy ... -32.22 eV for the cell shown
Energy of formation ... 187 meV per atom

Geometry as POSCAR:
```
HfNpScAl
1.0
0.000 3.487 3.487
3.487 0.000 3.487
3.487 3.487 0.000
Hf Np Sc Al
1 1 1 1
direct
0.000 0.000 0.000 Hf
0.750 0.750 0.750 Np
0.500 0.500 0.500 Sc
0.250 0.250 0.250 Al
```

---

(8)
Material: Hf6Al3O
Method: DFT, PBE
State: optimized geometry

Results
Space-group type ... No. 36
Formation energy without anion corrections ... -0.6583 eV per atom
VASP energy ... -164.98 eV for the cell shown

Geometry as POSCAR:
```
Hf6Al3O
1.0
5.406 -6.419 0.000
5.406 6.419 0.000
0.000 0.000 5.606
Hf Al O
12 6 2
direct
0.091 0.909 0.500 Hf
0.130 0.543 0.717 Hf
0.218 0.324 0.160 Hf
0.308 0.692 0.200 Hf
0.324 0.218 0.660 Hf
0.457 0.870 0.717 Hf
0.543 0.130 0.217 Hf
0.676 0.782 0.160 Hf
0.692 0.308 0.700 Hf
0.782 0.676 0.660 Hf
0.870 0.457 0.217 Hf
0.909 0.091 0.000 Hf
0.000 0.234 0.527 Al
0.000 0.766 0.027 Al
0.234 0.000 0.027 Al
0.482 0.518 0.888 Al
0.518 0.482 0.388 Al
0.766 0.000 0.527 Al
0.254 0.746 0.543 O
0.746 0.254 0.043 O
```

---

(9)
Material: HfAl2O2
Method: DFT, PBE
State: optimized geometry

Results
Space-group type ... No. 127
Formation energy without anion corrections ... -0.3640 eV per atom
VASP energy ... -58.35 eV for the cell shown
Excess energy over the best structure of this formula in the dataset ... 1.085 eV/atom

Geometry as POSCAR:
```
HfAl2O2
1.0
7.445 0.000 0.000
0.000 7.445 0.000
0.000 0.000 2.669
Hf Al O
2 4 4
direct
0.000 0.000 0.000 Hf
0.500 0.500 0.000 Hf
0.113 0.387 0.000 Al
0.387 0.887 0.000 Al
0.613 0.113 0.000 Al
0.887 0.613 0.000 Al
0.107 0.607 0.500 O
0.393 0.107 0.500 O
0.607 0.893 0.500 O
0.893 0.393 0.500 O
```

---

(10)
Material: Hf2Al4O
Method: DFT, PBE
State: optimized geometry

Results
Space-group type ... No. 139
Formation energy without anion corrections ... -0.4746 eV per atom
VASP energy ... -43.16 eV for the cell shown

Geometry as POSCAR:
```
Hf2Al4O
1.0
-2.042 2.042 7.037
2.042 -2.042 7.037
2.042 2.042 -7.037
Hf Al O
2 4 1
direct
0.163 0.163 0.000 Hf
0.837 0.837 0.000 Hf
0.000 0.500 0.500 Al
0.359 0.359 0.000 Al
0.500 0.000 0.500 Al
0.641 0.641 0.000 Al
0.500 0.500 0.000 O
```

---

(11)
Material: HfAl3O
Method: DFT, PBE
State: optimized geometry

Results
Space-group type ... No. 221
Formation energy without anion corrections ... -0.6386 eV per atom
VASP energy ... -29.33 eV for the cell shown
Excess energy over the best structure of this formula in the dataset ... 0.000 eV/atom

Geometry as POSCAR:
```
HfAl3O
1.0
4.202 0.000 0.000
0.000 4.202 0.000
0.000 0.000 4.202
Hf Al O
1 3 1
direct
0.000 0.000 0.000 Hf
0.000 0.500 0.500 Al
0.500 0.000 0.500 Al
0.500 0.500 0.000 Al
0.500 0.500 0.500 O
```

---

(12)
Material: Hf2AlO
Method: DFT, PBE
State: optimized geometry

Results
Space-group type ... No. 166
Formation energy without anion corrections ... -0.8534 eV per atom
VASP energy ... -32.02 eV for the cell shown
Excess energy over the best structure of this formula in the dataset ... 0.000 eV/atom

Geometry as POSCAR:
```
Hf2AlO
1.0
1.509 0.871 8.688
-1.509 0.871 8.688
0.000 -1.743 8.688
Hf Al O
2 1 1
direct
0.107 0.107 0.107 Hf
0.893 0.893 0.893 Hf
0.000 0.000 0.000 Al
0.500 0.500 0.500 O
```

---

Question: Which formula does entry 6 have?
Answer: Hf2NpAl